Entry 1:
## Nd2DyTh3Te6 (PBE-GGA)

Data for a relaxed structure of Nd2DyTh3Te6.

Values from the calculation:
total energy: -5.783 eV per atom
E_form (uncorrected): -1.18 eV per atom

a = 4.359 Å, b = 9.131 Å, c = 10.195 Å
α = 108.24°, β = 102.34°, γ = 90.00°
Fractional coordinates of all 12 atoms:
1 Nd 0.833 0.666 0.666
2 Nd 0.167 0.334 0.334
3 Dy 0.500 0.000 0.000
4 Th 0.500 0.500 0.000
5 Th 0.830 0.163 0.659
6 Th 0.170 0.837 0.341
7 Te 0.338 0.917 0.677
8 Te 0.667 0.583 0.335
9 Te 0.662 0.083 0.323
10 Te 0.999 0.240 0.997
11 Te 0.001 0.760 0.003
12 Te 0.333 0.417 0.665

Entry 2:
## Li6Hg2Bi (PBE-GGA)

Data for a relaxed structure of Li6Hg2Bi.

Values from the calculation:
total energy: -2.089 eV per atom
formation energy: -2.84 eV/f.u.

a = 5.538 Å, b = 8.001 Å, c = 5.525 Å
α = 136.39°, β = 93.04°, γ = 90.00°
Fractional coordinates of all 9 atoms:
1 Li 0.168 0.500 0.332
2 Li 0.832 0.168 0.668
3 Li 0.832 0.500 0.668
4 Li 0.500 0.169 0.000
5 Li 0.168 0.832 0.332
6 Li 0.500 0.831 0.000
7 Hg 0.661 0.658 0.316
8 Hg 0.339 0.342 0.684
9 Bi 0.000 0.000 0.000